1.
A relaxed structure of ZnNiRh2. Source: the Alexandria database, functional PBE.

Geometry as CIF:
```
data_ZnNiRh2
_chemical_formula_sum 'Zn4 Ni4 Rh8'
_cell_length_a 6.729
_cell_length_b 6.729
_cell_length_c 5.191
_cell_angle_alpha 90.00
_cell_angle_beta 90.00
_cell_angle_gamma 90.00
_space_group_name_H-M_alt 'I -4 2 d'
_space_group_IT_number 122
_space_group_name_Hall 'I -4 2bw'
loop_
_atom_site_label
_atom_site_type_symbol
_atom_site_fract_x
_atom_site_fract_y
_atom_site_fract_z
Zn1 Zn 0.000 0.000 0.000
Ni1 Ni 0.000 0.000 0.500
Rh1 Rh 0.234 0.250 0.625
```

Computed properties:
The calculation puts the energy of formation at 0.33 eV per atom. The density of states at the Fermi level comes out at 28.4 states/eV per cell. Its energy is -81.68 eV/cell.

2.
A relaxed structure of Zn2Ni2Rh. Source: the Alexandria database, functional PBE.

Geometry as CIF:
```
data_Zn2Ni2Rh
_chemical_formula_sum 'Zn4 Ni4 Rh2'
_cell_length_a 6.886
_cell_length_b 6.886
_cell_length_c 2.723
_cell_angle_alpha 90.00
_cell_angle_beta 90.00
_cell_angle_gamma 90.00
_space_group_name_H-M_alt 'P 4/m b m'
_space_group_IT_number 127
_space_group_name_Hall '-P 4 2ab'
loop_
_atom_site_label
_atom_site_type_symbol
_atom_site_fract_x
_atom_site_fract_y
_atom_site_fract_z
Zn1 Zn 0.175 0.325 0.000
Ni1 Ni 0.123 0.623 0.500
Rh1 Rh 0.000 0.000 0.500
```

Computed properties:
The calculation puts the energy of formation at -0.05 eV per atom. The calculation puts the energy above the most stable polymorph in this dataset at 0.126 eV per atom. The density of states at the Fermi level comes out at 10.3 states/eV per cell. Its energy is -43.47 eV/cell.

3.
A relaxed structure of ZnNi3Rh. Source: the Alexandria database, functional PBE.

Geometry as CIF:
```
data_ZnNi3Rh
_chemical_formula_sum 'Zn4 Ni12 Rh4'
_cell_length_a 6.762
_cell_length_b 5.387
_cell_length_c 6.825
_cell_angle_alpha 90.00
_cell_angle_beta 90.00
_cell_angle_gamma 90.00
_space_group_name_H-M_alt 'P n m a'
_space_group_IT_number 62
loop_
_space_group_symop_operation_xyz
'x,y,z'
'-x,-y,-z'
'-x+1/2,-y,z+1/2'
'x+1/2,y,-z+1/2'
'x+1/2,-y+1/2,-z+1/2'
'-x+1/2,y+1/2,z+1/2'
'-x,y+1/2,-z'
'x,-y+1/2,z'
loop_
_atom_site_label
_atom_site_type_symbol
_atom_site_fract_x
_atom_site_fract_y
_atom_site_fract_z
Zn1 Zn 0.171 0.250 0.184
Ni1 Ni 0.122 0.017 0.874
Ni2 Ni 0.184 0.750 0.153
Rh1 Rh 0.000 0.000 0.500
```

Computed properties:
The calculation puts the energy of formation at 0.07 eV per atom. The calculation puts the energy above the most stable polymorph in this dataset at 0.147 eV per atom. The density of states at the Fermi level comes out at 27.7 states/eV per cell. Its energy is -102.50 eV/cell.